{"formula": "Al2SbTe", "functional": "PBE-GGA", "state": "relaxed", "lattice": [[-3.039, -0.225, -0.991], [1.035, -2.957, -0.672], [-2.670, -2.945, 8.852]], "species": ["Al", "Sb", "Al", "Te"], "frac_coords": [[0.000, 0.000, 0.029], [0.000, 0.000, 0.438], [0.500, 0.500, 0.216], [0.500, 0.500, 0.817]], "density_g_cm3": 5.136, "formation_energy_uncorrected_ev_per_atom": 0.1214, "polymorph_energy_ev_per_atom": 0.231}